No. 1
Compound: TbSmHoN3
Source: Alexandria
Functional: GGA-PBE
Structure: optimized geometry

Cell: 6.027 3.484 9.069 Å, 90.00 101.51 90.00°
Space group P2_1/m (No. 11)
Inequivalent atoms, fractional coordinates:
Tb 0.231 0.250 0.455 (multiplicity 2)
Sm 0.344 0.750 0.802 (multiplicity 2)
Ho 0.152 0.750 0.139 (multiplicity 2)
N 0.036 0.250 0.656 (multiplicity 2)
N 0.247 0.250 0.005 (multiplicity 2)
N 0.462 0.750 0.330 (multiplicity 2)

Output
The value obtained for the calculated volume is 15.55 Å³/atom. The formation energy (no corrections) comes out at -1.43 eV per atom. Its crystal system is monoclinic.

=====

No. 2
Compound: TmBe4Pd
Source: Alexandria
Functional: GGA-PBE
Structure: optimized geometry

Cell: 6.644 6.644 6.644 Å, 90.00 90.00 90.00°
Space group F-43m (No. 216)
Inequivalent atoms, fractional coordinates:
Tm 0.000 0.000 0.000 (multiplicity 4)
Be 0.123 0.123 0.377 (multiplicity 16)
Pd 0.250 0.250 0.750 (multiplicity 4)

Output
The value obtained for the calculated volume is 12.22 Å³/atom. The density of states at the Fermi level comes out at 12.62 states/eV per cell. The value obtained for the total energy is -25.89 eV per formula unit. Its crystal system is cubic.

=====

No. 3
Compound: ZnSi3W
Source: Alexandria
Functional: GGA-PBE
Structure: optimized geometry

Cell: 4.792 4.792 4.792 Å, 90.00 90.00 90.00°
Space group Pm-3m (No. 221)
Inequivalent atoms, fractional coordinates:
Zn 0.000 0.000 0.000 (multiplicity 1)
Si 0.000 0.500 0.500 (multiplicity 3)
W 0.500 0.500 0.500 (multiplicity 1)

Output
The value obtained for the calculated volume is 22.00 Å³/atom. The formation energy (no corrections) comes out at 0.58 eV per atom. Its energy above the lowest structure with this stoichiometry is 0.0000 eV/atom. The density of states at the Fermi level comes out at 0.00 states/eV per cell. Its crystal system is cubic.

=====

No. 4
Compound: NbCdSi3
Source: Alexandria
Functional: GGA-PBE
Structure: optimized geometry

Cell: 4.884 4.884 4.884 Å, 90.00 90.00 90.00°
Space group Pm-3m (No. 221)
Inequivalent atoms, fractional coordinates:
Nb 0.000 0.000 0.000 (multiplicity 1)
Cd 0.500 0.500 0.500 (multiplicity 1)
Si 0.000 0.500 0.500 (multiplicity 3)

Output
The value obtained for the calculated volume is 23.31 Å³/atom. The formation energy (no corrections) comes out at 1.65 eV per atom. Its energy above the lowest structure with this stoichiometry is 1.0227 eV/atom. The density of states at the Fermi level comes out at 4.97 states/eV per cell. Its crystal system is cubic.

=====

No. 5
Compound: NaGaP
Source: Alexandria
Functional: GGA-PBE
Structure: optimized geometry

Cell: 3.9082 3.9082 5.0470 Å, 90.00 90.00 120.00°
Space group P3m1 (No. 156)
Inequivalent atoms, fractional coordinates:
Na 0.0000 0.0000 0.0000 (multiplicity 1)
Ga 0.6667 0.3333 0.4429 (multiplicity 1)
P 0.3333 0.6667 0.6068 (multiplicity 1)

Output
The value obtained for the calculated volume is 22.25 Å³/atom. Its energy above the lowest structure with this stoichiometry is 0.1708 eV/atom. The density of states at the Fermi level comes out at 1.41 states/eV per cell. Its crystal system is trigonal.

=====

No. 6
Compound: Ti4Ga2Co
Source: Alexandria
Functional: GGA-PBE
Structure: optimized geometry

Cell: 4.290 4.290 13.859 Å, 90.00 90.00 90.00°
Space group I4/mmm (No. 139)
Inequivalent atoms, fractional coordinates:
Ti 0.000 0.000 0.177 (multiplicity 4)
Ti 0.000 0.500 0.000 (multiplicity 4)
Ga 0.000 0.000 0.366 (multiplicity 4)
Co 0.000 0.000 0.000 (multiplicity 2)

Output
The value obtained for the calculated volume is 18.22 Å³/atom. The density of states at the Fermi level comes out at 18.40 states/eV per cell. The value obtained for the total energy is -44.05 eV per formula unit. Its crystal system is tetragonal.

=====

No. 7
Compound: BeCoRe2
Source: Alexandria
Functional: GGA-PBE
Structure: optimized geometry

Cell: 2.635 3.717 5.097 Å, 90.00 90.00 90.00°
Space group Pmmm (No. 47)
Inequivalent atoms, fractional coordinates:
Be 0.000 0.000 0.000 (multiplicity 1)
Co 0.000 0.000 0.500 (multiplicity 1)
Re 0.500 0.500 0.243 (multiplicity 2)

Output
The value obtained for the calculated volume is 12.48 Å³/atom. The density of states at the Fermi level comes out at 2.82 states/eV per cell. The value obtained for the total energy is -35.28 eV per formula unit. Its crystal system is orthorhombic.

=====

No. 8
Compound: SrTaMn2
Source: Alexandria
Functional: GGA-PBE
Structure: optimized geometry

Cell: 3.2640 3.2640 27.0877 Å, 90.00 90.00 120.00°
Space group R-3m (No. 166, hexagonal axes)
Inequivalent atoms, fractional coordinates:
Sr 0.0000 0.0000 0.0000 (multiplicity 3)
Ta 0.0000 0.0000 0.5000 (multiplicity 3)
Mn 0.0000 0.0000 0.2341 (multiplicity 6)

Output
The value obtained for the calculated volume is 20.83 Å³/atom. Its energy above the lowest structure with this stoichiometry is 0.3765 eV/atom. The density of states at the Fermi level comes out at 12.12 states/eV per cell. Its crystal system is trigonal.